[1]
A plane-wave DFT calculation with GGA-PBEsol was carried out for a relaxed MnBe2W crystal.

Relative energy among the computed polymorphs in eV/f.u.: 2.505
DOS(E_F) in states/eV/cell: 6.7
Uncorrected energy in eV/atom: -7.27

Unit cell a=3.3688 b=3.3688 c=16.6296 alpha=90.00 beta=90.00 gamma=90.00
Last column: nearest neighbours and their distance in Å.
Space group I-42d (No. 122)
One atom of each set of equivalent atoms:
Mn  0.0000  0.0000  0.0000 x4  4 Be 2.37, 4 W 2.38
Be  0.2234  0.2500  0.1250 x8  4 Be 2.26-2.51, 2 Mn 2.37, 2 W 2.43
W  0.0000  0.0000  0.5000 x4  4 Mn 2.38, 4 Be 2.43

=====

[2]
A plane-wave DFT calculation with GGA-PBEsol was carried out for a relaxed BeAlSe2 crystal.

DOS(E_F) in states/eV/cell: 0.6
Uncorrected energy in eV/atom: -4.09
Formation energy (no corrections) in eV/atom: -0.141

Unit cell a=3.7689 b=3.3876 c=6.2006 alpha=90.00 beta=96.66 gamma=90.00
Last column: nearest neighbours and their distance in Å.
Space group P2/m (No. 10)
One atom of each set of equivalent atoms:
Be  0.0000  0.0000  0.0000 x1  4 Se 2.31
Al  0.5000  0.0000  0.5000 x1  4 Se 2.53
Se  0.1881  0.5000  0.2397 x2  2 Be 2.31, 2 Al 2.53

=====

[3]
A plane-wave DFT calculation with GGA-PBEsol was carried out for a relaxed Ni10SbP3 crystal.

DOS(E_F) in states/eV/cell: 20.1
Uncorrected energy in eV/atom: -6.44
Formation energy (no corrections) in eV/atom: -0.470

Unit cell a=7.5809 b=7.5809 c=9.5063 alpha=90.00 beta=90.00 gamma=120.00
Last column: nearest neighbours and their distance in Å.
Space group P-3m1 (No. 164)
One atom of each set of equivalent atoms:
Ni  0.0000  0.0000  0.1202 x2  3 P 2.26, 4 Ni 2.29-2.50
Ni  0.0000  0.3376  0.0000 x6  2 P 2.22, 1 Ni 2.46
Ni  0.0160  0.5080  0.2586 x6  3 P 2.25-2.30, 3 Ni 2.48-2.51
Ni  0.1370  0.2741  0.6968 x6  2 P 2.27, 5 Ni 2.48-2.51
Ni  0.1888  0.3775  0.4273 x6  3 P 2.17-2.27
Ni  0.3333  0.6667  0.1115 x2  3 P 2.34, 1 Sb 2.40, 3 Ni 2.51
Ni  0.3333  0.6667  0.5962 x2  3 P 2.37, 3 Ni 2.49, 1 Sb 2.50
Sb  0.0000  0.0000  0.5000 x1  12 Ni 2.57-2.60
Sb  0.3333  0.6667  0.8591 x2  5 Ni 2.40-2.55
P  0.0000  0.5000  0.5000 x3  8 Ni 2.17-2.37
P  0.1645  0.3290  0.1909 x6  9 Ni 2.22-2.34

=====

[4]
A plane-wave DFT calculation with GGA-PBEsol was carried out for a relaxed CdCoCl2 crystal.

Relative energy among the computed polymorphs in eV/f.u.: 0.807
DOS(E_F) in states/eV/cell: 1.9
Uncorrected energy in eV/atom: -3.36
Formation energy (no corrections) in eV/atom: -0.121

Unit cell a=3.0851 b=3.0851 c=7.8066 alpha=90.00 beta=90.00 gamma=90.00
Last column: nearest neighbours and their distance in Å.
Space group P4mm (No. 99)
One atom of each set of equivalent atoms:
Cd  0.0000  0.0000  0.0000 x1  4 Cl 2.75, 4 Co 2.95
Co  0.5000  0.5000  0.7459 x1  4 Cl 2.45
Cl  0.0000  0.0000  0.6033 x1  4 Co 2.45
Cl  0.5000  0.5000  0.2141 x1  4 Cd 2.75

=====

[5]
A plane-wave DFT calculation with GGA-PBEsol was carried out for a relaxed KLi8 crystal.

DOS(E_F) in states/eV/cell: 8.3
Uncorrected energy in eV/atom: -1.79

Unit cell a=9.5870 b=9.5870 c=4.8150 alpha=90.00 beta=90.00 gamma=90.00
Last column: nearest neighbours and their distance in Å.
Space group I4/mmm (No. 139)
One atom of each set of equivalent atoms:
K  0.0000  0.0000  0.0000 x2  12 Li 3.36-3.47
Li  0.0000  0.3503  0.0000 x8  7 Li 2.87-3.15
Li  0.1840  0.1840  0.5000 x8  4 Li 3.00-3.05

=====

[6]
A plane-wave DFT calculation with GGA-PBEsol was carried out for a relaxed ZnSiMo2 crystal.

Relative energy among the computed polymorphs in eV/f.u.: 0.531
DOS(E_F) in states/eV/cell: 11.5
Uncorrected energy in eV/atom: -7.52
Formation energy (no corrections) in eV/atom: 0.200

Unit cell a=2.7960 b=2.7960 c=26.1193 alpha=90.00 beta=90.00 gamma=120.00
Last column: nearest neighbours and their distance in Å.
Space group R3m (No. 160, hexagonal axes)
One atom of each set of equivalent atoms:
Zn  0.0000  0.0000  0.0000 x3  3 Si 2.69, 3 Mo 2.78, 6 Zn 2.80
Si  0.0000  0.0000  0.2510 x3  3 Mo 2.60, 3 Zn 2.69, 6 Si 2.80
Mo  0.0000  0.0000  0.5066 x3  3 Si 2.60, 9 Mo 2.78-2.80
Mo  0.0000  0.0000  0.7532 x3  3 Zn 2.78, 9 Mo 2.78-2.80

=====

[7]
A plane-wave DFT calculation with GGA-PBEsol was carried out for a relaxed Ti3FeS crystal.

DOS(E_F) in states/eV/cell: 2.8
Uncorrected energy in eV/atom: -7.51
Formation energy (no corrections) in eV/atom: 0.157

Unit cell a=4.3992 b=4.3992 c=4.3992 alpha=90.00 beta=90.00 gamma=90.00
Last column: nearest neighbours and their distance in Å.
Space group Pm-3m (No. 221)
One atom of each set of equivalent atoms:
Ti  0.0000  0.0000  0.5000 x3  2 Fe 2.20
Fe  0.0000  0.0000  0.0000 x1  6 Ti 2.20
S  0.5000  0.5000  0.5000 x1  12 Ti 3.11

=====

[8]
A plane-wave DFT calculation with GGA-PBEsol was carried out for a relaxed RbBiCl2 crystal.

Relative energy among the computed polymorphs in eV/f.u.: 0.000
DOS(E_F) in states/eV/cell: 1.8
Uncorrected energy in eV/atom: -3.39
Formation energy (no corrections) in eV/atom: -1.062

Unit cell a=3.8820 b=3.8820 c=29.1107 alpha=90.00 beta=90.00 gamma=120.00
Last column: nearest neighbours and their distance in Å.
Space group R-3m (No. 166, hexagonal axes)
One atom of each set of equivalent atoms:
Rb  0.0000  0.0000  0.0000 x3  6 Cl 3.11
Bi  0.0000  0.0000  0.5000 x3  2 Cl 2.69
Cl  0.0000  0.0000  0.4075 x6  1 Bi 2.69